# TaCoSb2Te PBE optimized geometry
data_TaCoSb2Te
_chemical_formula_sum 'Ta1 Co1 Sb2 Te1'
_cell_length_a 4.8117
_cell_length_b 4.8117
_cell_length_c 5.0354
_cell_angle_alpha 90.00
_cell_angle_beta 90.00
_cell_angle_gamma 90.00
_symmetry_space_group_name_H-M 'P 4/m m m'
_symmetry_Int_Tables_number 123
_symmetry_space_group_name_Hall '-P 4 2'
loop_
_atom_site_label
_atom_site_fract_x
_atom_site_fract_y
_atom_site_fract_z
Ta1 0.0000 0.0000 0.0000
Co1 0.5000 0.5000 0.5000
Sb1 0.0000 0.5000 0.5000
Te1 0.5000 0.5000 0.0000
# uncorrected formation energy: 887 meV per atom
# DFT total energy: -25.9 eV per cell
# density of states at the Fermi level: 1.3578 states/eV per atom

# TaCoSbTe2 PBE optimized geometry
data_TaCoSbTe2
_chemical_formula_sum 'Ta1 Co1 Sb1 Te2'
_cell_length_a 4.9617
_cell_length_b 4.9617
_cell_length_c 4.7694
_cell_angle_alpha 90.00
_cell_angle_beta 90.00
_cell_angle_gamma 90.00
_symmetry_space_group_name_H-M 'P 4/m m m'
_symmetry_Int_Tables_number 123
_symmetry_space_group_name_Hall '-P 4 2'
loop_
_atom_site_label
_atom_site_fract_x
_atom_site_fract_y
_atom_site_fract_z
Ta1 0.0000 0.0000 0.0000
Co1 0.5000 0.5000 0.5000
Sb1 0.5000 0.5000 0.0000
Te1 0.0000 0.5000 0.5000
# uncorrected formation energy: 875 meV per atom
# DFT total energy: -25.0 eV per cell
# density of states at the Fermi level: 1.2479 states/eV per atom

# TaCoSb2Te PBE optimized geometry
data_TaCoSb2Te
_chemical_formula_sum 'Ta1 Co1 Sb2 Te1'
_cell_length_a 5.3639
_cell_length_b 5.3639
_cell_length_c 5.3310
_cell_angle_alpha 90.00
_cell_angle_beta 90.00
_cell_angle_gamma 90.00
_symmetry_space_group_name_H-M 'P 4/m m m'
_symmetry_Int_Tables_number 123
_symmetry_space_group_name_Hall '-P 4 2'
loop_
_atom_site_label
_atom_site_fract_x
_atom_site_fract_y
_atom_site_fract_z
Ta1 0.0000 0.0000 0.0000
Co1 0.5000 0.5000 0.5000
Sb1 0.0000 0.5000 0.0000
Te1 0.0000 0.0000 0.5000
# uncorrected formation energy: 1014 meV per atom
# DFT total energy: -25.3 eV per cell
# density of states at the Fermi level: 1.9267 states/eV per atom